Computed, not measured: a relaxed Ac7La2Pr crystal at the PBE-GGA level of DFT.

Cell: 6.060 9.776 9.776 Å, 61.86 90.00 90.00°
Fractional positions:
Ac 0.000 0.239 0.239
Ac 0.000 0.761 0.761
Ac 0.500 0.935 0.306
Ac 0.500 0.065 0.694
Ac 0.500 0.694 0.065
Ac 0.500 0.306 0.935
Ac 0.500 0.500 0.500
La 0.500 0.300 0.300
La 0.500 0.700 0.700
Pr 0.000 0.000 0.000

energy	-3.759	eV per atom
symmetry	Cmmm (65)

Computed, not measured: a relaxed GaSNF2 crystal at the PBE-GGA level of DFT.

Cell: 4.645 4.645 3.332 Å, 90.00 90.00 90.00°
Fractional positions:
S 0.000 0.000 0.000
N 0.000 0.000 0.500
Ga 0.500 0.500 0.500
F 0.000 0.500 0.000
F 0.500 0.000 0.000

energy	-4.093	eV per atom
symmetry	P4/mmm (123)
polymorph energy (0 for the lowest one)	50	meV/atom
E_form (uncorrected)	-0.25	eV/atom

Computed, not measured: a relaxed KNa2NpBr6 crystal at the PBE-GGA level of DFT.

Cell: 7.639 7.638 8.289 Å, 62.54 62.53 59.97°
Fractional positions:
K 0.809 0.809 0.574
Na 0.518 0.518 0.446
Na 0.007 0.007 0.979
Np 0.325 0.325 0.026
Br 0.586 0.239 0.240
Br 0.239 0.934 0.240
Br 0.934 0.587 0.241
Br 0.371 0.724 0.756
Br 0.724 0.149 0.756
Br 0.150 0.371 0.756

energy	-4.175	eV per atom
symmetry	R3 (146)
E_form (uncorrected)	-1.50	eV/atom

Computed, not measured: a relaxed ErZr4Zn5 crystal at the PBE-GGA level of DFT.

Cell: 3.382 3.382 16.846 Å, 90.00 90.00 90.00°
Fractional positions:
Er 0.000 0.000 0.000
Zr 0.000 0.000 0.206
Zr 0.000 0.000 0.402
Zr 0.000 0.000 0.598
Zr 0.000 0.000 0.794
Zn 0.500 0.500 0.110
Zn 0.500 0.500 0.304
Zn 0.500 0.500 0.500
Zn 0.500 0.500 0.696
Zn 0.500 0.500 0.890

energy	-4.793	eV per atom
symmetry	P4/mmm (123)

Computed, not measured: a relaxed Sb2IrF crystal at the PBE-GGA level of DFT.

Cell: 4.587 4.587 4.587 Å, 60.00 60.00 60.00°
Fractional positions:
Sb 0.250 0.250 0.250
Sb 0.750 0.750 0.750
Ir 0.500 0.500 0.500
F 0.000 0.000 0.000

energy	-5.422	eV per atom
symmetry	Fm-3m (225)
polymorph energy (0 for the lowest one)	0	meV/atom
E_form (uncorrected)	-0.68	eV/atom

Computed, not measured: a relaxed NbSb crystal at the PBE-GGA level of DFT.

Cell: 7.823 7.823 7.823 Å, 90.00 90.00 90.00°
Fractional positions:
Nb 0.250 0.500 0.000
Nb 0.750 0.500 0.000
Nb 0.500 0.000 0.250
Nb 0.500 0.000 0.750
Nb 0.000 0.250 0.500
Nb 0.000 0.750 0.500
Sb 0.250 0.000 0.500
Sb 0.750 0.000 0.500
Sb 0.000 0.500 0.250
Sb 0.000 0.500 0.750
Sb 0.500 0.250 0.000
Sb 0.500 0.750 0.000

energy	-6.202	eV per atom
symmetry	Pm-3n (223)
E_form (uncorrected)	0.89	eV/atom

Computed, not measured: a relaxed Mn2RuSe crystal at the PBE-GGA level of DFT.

Cell: 8.168 8.168 8.168 Å, 20.21 20.21 20.21°
Fractional positions:
Mn 0.002 0.002 0.002
Mn 0.251 0.251 0.251
Ru 0.506 0.506 0.506
Se 0.741 0.741 0.741

energy	-7.460	eV per atom
symmetry	R3m (160)
E_form (uncorrected)	0.31	eV/atom

Computed, not measured: a relaxed TbY2Te2S2 crystal at the PBE-GGA level of DFT.

Cell: 5.084 5.084 8.595 Å, 107.20 107.20 90.00°
Fractional positions:
Tb 0.000 0.000 0.000
Y 0.388 0.388 0.776
Y 0.612 0.612 0.224
Te 0.190 0.190 0.381
Te 0.810 0.810 0.619
S 0.000 0.500 0.000
S 0.500 0.000 0.000

energy	-5.922	eV per atom
symmetry	I4/mmm (139)
E_form (uncorrected)	-1.34	eV/atom

Computed, not measured: a relaxed MgZrAg2 crystal at the PBE-GGA level of DFT.

Cell: 5.990 5.990 5.990 Å, 150.77 130.09 58.89°
Fractional positions:
Ag 0.988 0.988 0.000
Ag 0.754 0.254 0.500
Mg 0.518 0.518 0.000
Zr 0.240 0.740 0.500

energy	-3.956	eV per atom
symmetry	Imm2 (44)

Computed, not measured: a relaxed Ni2SbP crystal at the PBE-GGA level of DFT.

Cell: 5.014 5.014 5.014 Å, 136.69 136.69 62.91°
Fractional positions:
Ni 0.000 0.000 0.000
Ni 0.250 0.750 0.500
Sb 0.750 0.250 0.500
P 0.500 0.500 0.000

energy	-5.118	eV per atom
symmetry	I-4m2 (119)
polymorph energy (0 for the lowest one)	468	meV/atom
E_form (uncorrected)	0.16	eV/atom

Computed, not measured: a relaxed Ac2Ga4NiPt3 crystal at the PBE-GGA level of DFT.

Cell: 4.489 4.489 10.126 Å, 90.00 90.00 90.00°
Fractional positions:
Ac 0.500 0.000 0.254
Ac 0.000 0.500 0.746
Ga 0.500 0.500 0.000
Ga 0.000 0.000 0.000
Ga 0.500 0.000 0.614
Ga 0.000 0.500 0.386
Ni 0.500 0.500 0.500
Pt 0.000 0.000 0.500
Pt 0.500 0.000 0.869
Pt 0.000 0.500 0.131

energy	-5.289	eV per atom
symmetry	P-4m2 (115)

Computed, not measured: a relaxed Ba3NaSb2O6 crystal at the PBE-GGA level of DFT.

Cell: 6.132 6.132 7.101 Å, 90.00 90.00 120.00°
Fractional positions:
Ba 0.333 0.667 0.628
Ba 0.667 0.333 0.372
Ba 0.000 0.000 0.000
Na 0.000 0.000 0.500
Sb 0.667 0.333 0.855
Sb 0.333 0.667 0.145
O 0.646 0.823 0.298
O 0.177 0.354 0.298
O 0.177 0.823 0.298
O 0.823 0.646 0.702
O 0.354 0.177 0.702
O 0.823 0.177 0.702

energy	-5.765	eV per atom
symmetry	P-3m1 (164)
E_form (uncorrected)	-2.01	eV/atom